Record 1
First-principles (GGA-PBE) data for an optimized crystal structure of Y2Nb2Ga, as listed in the Alexandria database.

a = 7.136 Å, b = 7.136 Å, c = 4.534 Å
α = 90.00°, β = 90.00°, γ = 90.00°
Fractional coordinates of all 10 atoms:
Y (0.173, 0.673, 0.500)
Y (0.673, 0.827, 0.500)
Y (0.827, 0.327, 0.500)
Y (0.327, 0.173, 0.500)
Nb (0.367, 0.867, 0.000)
Nb (0.867, 0.633, 0.000)
Nb (0.633, 0.133, 0.000)
Nb (0.133, 0.367, 0.000)
Ga (0.000, 0.000, 0.000)
Ga (0.500, 0.500, 0.000)

***

Record 2
First-principles (GGA-PBE) data for an optimized crystal structure of YNbGa4, as listed in the Alexandria database.

a = 5.312 Å, b = 5.312 Å, c = 5.312 Å
α = 60.00°, β = 60.00°, γ = 60.00°
Fractional coordinates of all 6 atoms:
Y (0.250, 0.250, 0.250)
Nb (0.000, 0.000, 0.000)
Ga (0.626, 0.626, 0.123)
Ga (0.626, 0.123, 0.626)
Ga (0.626, 0.626, 0.626)
Ga (0.123, 0.626, 0.626)

***

Record 3
First-principles (GGA-PBE) data for an optimized crystal structure of YNb3Ga, as listed in the Alexandria database.

a = 4.882 Å, b = 4.882 Å, c = 4.882 Å
α = 90.00°, β = 90.00°, γ = 90.00°
Fractional coordinates of all 5 atoms:
Y (0.500, 0.500, 0.500)
Nb (0.000, 0.500, 0.000)
Nb (0.000, 0.000, 0.500)
Nb (0.500, 0.000, 0.000)
Ga (0.000, 0.000, 0.000)

***

Record 4
First-principles (GGA-PBE) data for an optimized crystal structure of Y2Nb2Ga, as listed in the Alexandria database.

a = 4.097 Å, b = 4.097 Å, c = 7.822 Å
α = 74.82°, β = 74.82°, γ = 90.00°
Fractional coordinates of all 5 atoms:
Y (0.750, 0.250, 0.500)
Y (0.250, 0.750, 0.500)
Nb (0.421, 0.421, 0.158)
Nb (0.579, 0.579, 0.842)
Ga (0.000, 0.000, 0.000)

***

Record 5
First-principles (GGA-PBE) data for an optimized crystal structure of YNb3Ga, as listed in the Alexandria database.

a = 4.940 Å, b = 4.940 Å, c = 4.940 Å
α = 90.00°, β = 90.00°, γ = 90.00°
Fractional coordinates of all 5 atoms:
Y (0.000, 0.000, 0.000)
Nb (0.000, 0.500, 0.000)
Nb (0.000, 0.000, 0.500)
Nb (0.500, 0.000, 0.000)
Ga (0.500, 0.500, 0.500)

***

Record 6
First-principles (GGA-PBE) data for an optimized crystal structure of YNbGa4, as listed in the Alexandria database.

a = 4.150 Å, b = 5.561 Å, c = 5.561 Å
α = 81.20°, β = 68.09°, γ = 68.09°
Fractional coordinates of all 6 atoms:
Y (0.000, 0.000, 0.000)
Nb (0.500, 0.500, 0.500)
Ga (0.245, 0.420, 0.090)
Ga (0.245, 0.090, 0.420)
Ga (0.755, 0.580, 0.910)
Ga (0.755, 0.910, 0.580)

***

| no. | formation energy from the elements (meV/atom) | V (Å³ per atom) | electronic total energy (eV per atom) |
| --- | --- | --- | --- |
| 1 | 46 | 23.091 | -7.17 |
| 2 | -348 | 17.663 | -5.12 |
| 3 | 769 | 23.265 | -7.17 |
| 4 | 822 | 24.393 | -6.40 |
| 5 | 1965 | 24.105 | -5.97 |
| 6 | -308 | 18.407 | -5.08 |